{
  "formula": "Tb2YAl3Si2Ir",
  "functional": "PBE",
  "state": "relaxed",
  "lattice_angstrom": [[4.2261, 0.0000, 0.0000], [0.0000, 6.0037, 3.4689], [0.0000, -6.0037, 3.4689]],
  "species": ["Tb", "Tb", "Y", "Al", "Al", "Al", "Si", "Si", "Ir"],
  "fractional_positions": [[0.0000, 0.2079, 0.7921], [0.0000, 0.7921, 0.2079], [0.0000, 0.3758, 0.3758], [0.5000, 0.0244, 0.0244], [0.5000, 0.5596, 0.7919], [0.5000, 0.7919, 0.5596], [0.5000, 0.1255, 0.4584], [0.5000, 0.4584, 0.1255], [0.0000, 0.7918, 0.7918]],
  "total_energy_ev_per_cell": -54.40,
  "magnetic_moment_mub_per_cell": 0.00,
  "sg": "Amm2 (38)"
}